BeFe2Os, optimized geometry, DFT PBE-GGA; M_tot = 4.3 μB/f.u.; formation energy from the elements = 0.171 eV/atom; calculated total energy = -7.80 eV per atom
1.0
4.1206 0.0000 0.0000
0.0000 4.1206 0.0000
0.0000 0.0000 2.7733
Be Fe Os
1 2 1
Cartesian
0.0000 0.0000 0.0000 Be
0.0000 2.0603 1.3867 Fe
2.0603 0.0000 1.3867 Fe
2.0603 2.0603 0.0000 Os

---

Na2Cu2Si5H6O16, optimized geometry, DFT PBE-GGA; M_tot = 2.0 μB/f.u.; calculated total energy = -6.33 eV per atom
1.0
11.2712 0.0000 0.0000
0.0000 5.1915 0.0000
-9.6736 0.0000 12.2466
Na Cu Si H O
4 4 10 12 32
Cartesian
0.0000 1.1603 0.0000 Na
-4.8368 4.0312 6.1233 Na
0.6218 1.1835 4.6029 Na
-4.2150 4.0080 10.7262 Na
-3.0288 1.3752 5.6078 Cu
-7.8656 3.8164 11.7311 Cu
-6.1035 1.3538 11.2563 Cu
-1.2667 3.8377 5.1329 Cu
-4.5337 1.5278 8.4405 Si
0.3031 3.6637 2.3172 Si
2.8619 2.3431 1.9874 Si
-1.9749 2.8484 8.1107 Si
-0.3434 0.1456 7.9197 Si
4.4934 5.0460 1.7964 Si
2.6664 0.2676 9.0622 Si
7.5033 4.9240 2.9389 Si
9.0320 2.2758 2.6308 Si
4.1952 2.9157 8.7541 Si
5.9429 1.5780 0.1053 H
1.1061 3.6135 6.2287 H
2.0082 2.5112 6.8930 H
6.8450 2.6803 0.7697 H
-0.9782 0.6837 11.1335 H
3.8587 4.5078 5.0102 H
5.2539 2.4221 3.8377 H
0.4171 2.7695 9.9610 H
8.7305 0.2873 0.3922 H
3.8937 4.9043 6.5155 H
5.0655 1.5272 5.0920 H
0.2287 3.6643 11.2153 H
-8.3187 0.1781 10.6385 O
-3.4818 5.0135 4.5152 O
-0.8816 2.5847 1.7732 O
-5.7184 2.6068 7.8965 O
-1.8558 2.1676 4.2115 O
-6.6927 3.0239 10.3348 O
-3.9771 0.6902 7.1778 O
0.8597 4.5014 1.0545 O
-5.1121 0.6845 9.6930 O
-0.2753 4.5070 3.5697 O
2.4329 2.1827 0.4169 O
-2.4039 3.0089 6.5402 O
-3.3241 2.5617 8.9965 O
1.5127 2.6299 2.8731 O
4.5921 0.1499 0.2097 O
-0.2447 5.0416 6.3330 O
3.5320 0.9632 2.5571 O
-1.3049 4.2283 8.6804 O
-0.8773 1.6465 8.3360 O
3.9596 3.5450 2.2127 O
-3.2262 2.4046 12.1645 O
1.6106 2.7870 6.0412 O
1.1170 0.0213 8.6401 O
5.9538 5.1702 2.5168 O
-0.5688 0.0559 11.7561 O
4.2680 5.1356 5.6328 O
5.5353 2.3331 4.7663 O
0.6985 2.8584 10.8896 O
3.0641 1.7531 8.4442 O
7.9009 3.4384 2.3209 O
8.3884 0.8605 2.0840 O
3.5516 4.3311 8.2073 O

---

Tb2YZn3, optimized geometry, DFT PBE-GGA; M_tot = 0.0 μB/f.u.; formation energy from the elements = -0.344 eV/atom; calculated total energy = -3.60 eV per atom
1.0
5.0686 0.0000 0.0000
-2.5343 4.3895 0.0000
0.0000 0.0000 6.2066
Tb Y Zn
2 1 3
Cartesian
0.0000 2.9263 1.0371 Tb
2.5343 1.4632 5.1695 Tb
0.0000 0.0000 3.1033 Y
0.0000 0.0000 0.0000 Zn
0.0000 2.9263 4.1425 Zn
2.5343 1.4632 2.0642 Zn

---

TcPdBr2, optimized geometry, DFT PBE-GGA; E_form (uncorrected) = 0.63 eV/atom; M_tot = 0.0 μB/f.u.; calculated total energy = -4.09 eV per atom
1.0
-3.0011 3.0011 5.4388
3.0011 -3.0011 5.4388
3.0011 3.0011 -5.4388
Tc Pd Br
2 2 4
Cartesian
0.0000 0.0000 0.0000 Tc
0.0000 3.0011 2.7194 Tc
3.0011 0.0000 2.7194 Pd
0.0000 0.0000 5.4388 Pd
4.5017 1.3749 -1.3597 Br
1.3749 1.5006 1.3597 Br
-1.5006 1.6263 4.0791 Br
1.6263 1.5006 6.7985 Br

---

Ba2SBr, optimized geometry, DFT PBE-GGA; E_form (uncorrected) = -1.87 eV/atom; M_tot = 0.0 μB/f.u.; calculated total energy = -4.28 eV per atom
1.0
2.2789 1.3157 7.8236
-2.2789 1.3157 7.8236
0.0000 -2.6315 7.8236
Ba S Br
2 1 1
Cartesian
0.0000 0.0000 5.6142 Ba
0.0000 0.0000 17.8567 Ba
0.0000 0.0000 11.7355 S
0.0000 0.0000 0.0000 Br

---

NaTaN2F, optimized geometry, DFT PBE-GGA; E_form (uncorrected) = 0.98 eV/atom; M_tot = 1.2 μB/f.u.; calculated total energy = -5.36 eV per atom
1.0
3.9898 0.0000 0.0000
0.0000 3.9898 0.0000
0.0000 0.0000 3.5580
Na Ta N F
1 1 2 1
Cartesian
0.0000 0.0000 0.0000 Na
1.9949 1.9949 1.7790 Ta
0.0000 1.9949 0.0000 N
1.9949 0.0000 0.0000 N
0.0000 0.0000 1.7790 F

---

Ag5S2O, optimized geometry, DFT PBE-GGA; E_form (uncorrected) = 0.06 eV/atom; M_tot = 0.0 μB/f.u.; calculated total energy = -3.37 eV per atom
1.0
2.2346 -6.3387 0.0000
2.2346 6.3387 0.0000
0.0000 0.0000 11.8474
Ag S O
10 4 2
Cartesian
2.2346 5.3872 7.4512 Ag
2.2346 5.3872 10.3199 Ag
2.2346 2.9268 2.9619 Ag
2.2346 2.2362 6.2713 Ag
2.2346 2.2362 11.4998 Ag
2.2346 -2.2362 0.3476 Ag
2.2346 -2.2362 5.5761 Ag
2.2346 -2.9268 8.8856 Ag
2.2346 -5.3872 1.5275 Ag
2.2346 -5.3872 4.3962 Ag
2.2346 4.8784 1.0415 S
2.2346 4.8784 4.8822 S
2.2346 -4.8784 6.9652 S
2.2346 -4.8784 10.8059 S
2.2346 3.7382 8.8856 O
2.2346 -3.7382 2.9619 O

---

CaHgF3, optimized geometry, DFT PBE-GGA; E_form (uncorrected) = -2.55 eV/atom; M_tot = 0.0 μB/f.u.; calculated total energy = -4.14 eV per atom
1.0
4.4574 0.0000 0.0000
0.0000 4.4574 0.0000
0.0000 0.0000 4.4574
Ca Hg F
1 1 3
Cartesian
0.0000 0.0000 0.0000 Ca
2.2287 2.2287 2.2287 Hg
0.0000 0.0000 2.2287 F
0.0000 2.2287 0.0000 F
2.2287 0.0000 0.0000 F

---

LaPrMgCu, optimized geometry, DFT PBE-GGA; M_tot = 0.0 μB/f.u.; formation energy from the elements = -0.032 eV/atom; calculated total energy = -3.88 eV per atom
1.0
0.0000 3.7968 3.7968
3.7968 0.0000 3.7968
3.7968 3.7968 0.0000
La Pr Mg Cu
1 1 1 1
Cartesian
0.0000 0.0000 0.0000 La
3.7968 3.7968 3.7968 Pr
1.8984 1.8984 1.8984 Mg
5.6953 5.6953 5.6953 Cu

---

CsRb4Cu3Cl12, optimized geometry, DFT PBE-GGA; E_form (uncorrected) = -1.16 eV/atom; M_tot = 0.0 μB/f.u.; calculated total energy = -3.12 eV per atom
1.0
-5.2505 5.2505 5.2505
5.2505 -5.2505 5.2505
5.2505 5.2505 -5.2505
Cs Rb Cu Cl
1 4 3 12
Cartesian
0.0000 0.0000 0.0000 Cs
2.6253 2.6253 -2.6253 Rb
2.6253 -2.6253 2.6253 Rb
-2.6253 2.6253 2.6253 Rb
2.6253 2.6253 2.6253 Rb
5.2505 0.0000 0.0000 Cu
0.0000 5.2505 0.0000 Cu
0.0000 0.0000 5.2505 Cu
3.0729 0.0000 0.0000 Cl
7.4281 0.0000 0.0000 Cl
5.2505 2.6253 0.0000 Cl
5.2505 0.0000 2.6253 Cl
0.0000 3.0729 0.0000 Cl
0.0000 0.0000 3.0729 Cl
2.6253 5.2505 0.0000 Cl
2.6253 0.0000 5.2505 Cl
0.0000 7.4281 0.0000 Cl
0.0000 0.0000 7.4281 Cl
0.0000 5.2505 2.6253 Cl
0.0000 2.6253 5.2505 Cl

---

NaTaO3, optimized geometry, DFT PBE-GGA; E_form (uncorrected) = -2.57 eV/atom; M_tot = 0.0 μB/f.u.; calculated total energy = -8.17 eV per atom
1.0
0.0000 5.2507 5.2507
5.2507 0.0000 5.2507
5.2507 5.2507 0.0000
Na Ta O
4 4 12
Cartesian
0.0000 0.0000 0.0000 Na
2.6254 2.6254 0.0000 Na
2.6254 0.0000 2.6254 Na
0.0000 2.6254 2.6254 Na
5.2507 2.6254 2.6254 Ta
2.6254 5.2507 2.6254 Ta
2.6254 2.6254 5.2507 Ta
5.2507 5.2507 5.2507 Ta
3.9381 3.9381 1.8981 O
3.9381 1.8981 3.9381 O
5.9780 3.9381 3.9381 O
6.5634 6.5634 4.5235 O
6.5634 4.5235 6.5634 O
8.6034 6.5634 6.5634 O
1.8981 3.9381 3.9381 O
3.9381 5.9780 3.9381 O
3.9381 3.9381 5.9780 O
4.5235 6.5634 6.5634 O
6.5634 8.6034 6.5634 O
6.5634 6.5634 8.6034 O

---

YAu3, optimized geometry, DFT PBE-GGA; M_tot = 0.0 μB/f.u.; formation energy from the elements = -0.687 eV/atom; calculated total energy = -4.76 eV per atom
1.0
5.4754 0.0000 0.0000
0.0000 5.4754 0.0000
0.0000 0.0000 5.4754
Y Au
2 6
Cartesian
0.0000 0.0000 0.0000 Y
2.7377 2.7377 2.7377 Y
0.0000 1.3689 2.7377 Au
0.0000 4.1066 2.7377 Au
1.3689 2.7377 0.0000 Au
2.7377 0.0000 1.3689 Au
2.7377 0.0000 4.1066 Au
4.1066 2.7377 0.0000 Au

---

AlV2Ga, optimized geometry, DFT PBE-GGA; M_tot = 0.0 μB/f.u.; formation energy from the elements = -0.063 eV/atom; calculated total energy = -6.31 eV per atom
1.0
2.6893 0.0000 0.0000
1.0707 2.5959 0.0000
0.5006 1.2696 8.5599
Al V Ga
1 2 1
Cartesian
0.0000 0.0000 0.0000 Al
1.9880 2.3356 6.4368 V
2.7983 1.0279 4.5234 V
2.4451 2.6149 2.3887 Ga

---

Tm2MgRuC, optimized geometry, DFT PBE-GGA; M_tot = 0.0 μB/f.u.; formation energy from the elements = -0.337 eV/atom; calculated total energy = -6.14 eV per atom
1.0
4.9244 0.0000 0.0000
0.0000 4.9244 0.0000
0.0000 0.0000 3.9478
Tm Mg Ru C
2 1 1 1
Cartesian
0.0000 2.4622 0.0000 Tm
2.4622 0.0000 0.0000 Tm
0.0000 0.0000 1.9739 Mg
2.4622 2.4622 1.9739 Ru
2.4622 2.4622 0.0000 C

---

Nb2BiF2, optimized geometry, DFT PBE-GGA; E_form (uncorrected) = -0.54 eV/atom; M_tot = 0.0 μB/f.u.; calculated total energy = -6.09 eV per atom
1.0
7.5931 0.0000 0.0000
0.0000 7.5931 0.0000
0.0000 0.0000 3.0818
Nb Bi F
4 2 4
Cartesian
0.9276 2.8689 0.0000 Nb
2.8689 6.6655 0.0000 Nb
4.7242 0.9276 0.0000 Nb
6.6655 4.7242 0.0000 Nb
0.0000 0.0000 0.0000 Bi
3.7965 3.7965 0.0000 Bi
0.8764 4.6729 1.5409 F
2.9201 0.8764 1.5409 F
4.6729 6.7167 1.5409 F
6.7167 2.9201 1.5409 F

---

Mg3FeB, optimized geometry, DFT PBE-GGA; M_tot = 3.2 μB/f.u.; formation energy from the elements = 0.591 eV/atom; calculated total energy = -3.39 eV per atom
1.0
4.4852 0.0000 0.0000
0.0000 4.4852 0.0000
0.0000 0.0000 4.4852
Mg Fe B
3 1 1
Cartesian
0.0000 0.0000 2.2426 Mg
0.0000 2.2426 0.0000 Mg
2.2426 0.0000 0.0000 Mg
2.2426 2.2426 2.2426 Fe
0.0000 0.0000 0.0000 B

---

ZnCoP4, optimized geometry, DFT PBE-GGA; M_tot = 2.0 μB/f.u.; formation energy from the elements = 0.717 eV/atom; calculated total energy = -4.29 eV per atom
1.0
0.0000 3.5374 3.5374
3.5374 0.0000 3.5374
3.5374 3.5374 0.0000
Zn Co P
1 1 4
Cartesian
0.0000 0.0000 0.0000 Zn
5.3062 5.3062 5.3062 Co
2.6575 2.6575 2.6575 P
4.4174 4.4174 2.6575 P
4.4174 2.6575 4.4174 P
2.6575 4.4174 4.4174 P

---

PmMg7Cu5, optimized geometry, DFT PBE-GGA; M_tot = 0.0 μB/f.u.; formation energy from the elements = -0.110 eV/atom; calculated total energy = -2.91 eV per atom
1.0
-2.6606 4.7001 4.7013
2.6606 -4.7001 4.7013
2.6606 4.7001 -4.7013
Pm Mg Cu
1 7 5
Cartesian
0.0000 0.0000 0.0000 Pm
2.6606 1.9231 0.1314 Mg
2.6606 0.0000 2.2815 Mg
0.0000 0.0000 3.3296 Mg
0.0000 3.2380 0.3165 Mg
0.0000 0.0000 6.3070 Mg
0.0000 6.1621 0.3165 Mg
0.0000 2.7770 4.8327 Mg
1.3081 2.2897 -2.1334 Cu
4.0131 2.2897 -2.1334 Cu
-1.3525 2.4104 2.5680 Cu
1.3525 2.4104 2.5680 Cu
0.0000 4.7001 2.8020 Cu

---

LiEr2Pb2, optimized geometry, DFT PBE-GGA; M_tot = 0.0 μB/f.u.; formation energy from the elements = -0.337 eV/atom; calculated total energy = -4.03 eV per atom
1.0
-3.2702 6.4708 3.1692
3.2702 -6.4708 3.1692
3.2702 6.4708 -3.1692
Li Er Pb
2 4 4
Cartesian
0.0000 0.0000 1.5846 Li
0.0000 0.0000 4.7538 Li
4.6873 1.8218 0.0000 Er
1.4171 4.6490 0.0000 Er
1.8532 1.8218 3.1692 Er
-1.4171 4.6490 3.1692 Er
1.5772 1.5218 0.0000 Pb
1.5772 -1.5218 3.1692 Pb
1.6931 7.9926 0.0000 Pb
1.6931 4.9489 3.1692 Pb

---

TbPrEr2, optimized geometry, DFT PBE-GGA; M_tot = 0.0 μB/f.u.; formation energy from the elements = 0.024 eV/atom; calculated total energy = -4.61 eV per atom
1.0
1.7937 1.0356 11.5828
-1.7937 1.0356 11.5828
0.0000 -2.0711 11.5828
Tb Pr Er
1 1 2
Cartesian
0.0000 0.0000 0.0000 Tb
0.0000 0.0000 28.9852 Pr
0.0000 0.0000 14.4216 Er
0.0000 0.0000 20.3372 Er

---

GaCoSn, optimized geometry, DFT PBE-GGA; M_tot = 0.0 μB/f.u.; formation energy from the elements = -0.102 eV/atom; calculated total energy = -4.81 eV per atom
1.0
-1.9678 1.9678 6.3942
1.9678 -1.9678 6.3942
1.9678 1.9678 -6.3942
Ga Co Sn
2 2 2
Cartesian
1.9678 0.0000 0.0000 Ga
0.0000 1.9678 0.0000 Ga
0.0000 0.0000 1.4254 Co
0.0000 0.0000 11.3630 Co
0.0000 0.0000 4.0549 Sn
0.0000 0.0000 8.7335 Sn

---

K2CaCrIr, optimized geometry, DFT PBE-GGA; M_tot = 3.9 μB/f.u.; formation energy from the elements = 0.880 eV/atom; calculated total energy = -3.66 eV per atom
1.0
6.1359 0.0000 0.0000
0.0000 6.1359 0.0000
0.0000 0.0000 4.6212
K Ca Cr Ir
2 1 1 1
Cartesian
0.0000 3.0679 0.0000 K
3.0679 0.0000 0.0000 K
0.0000 0.0000 2.3106 Ca
3.0679 3.0679 0.0000 Cr
3.0679 3.0679 2.3106 Ir